(1)
YPaB4 | PBE | optimized geometry

Computed properties:
Uncorrected energy = -45.22 eV per cell
Distance to the lowest polymorph of the same formula = 0 meV/atom

Cell: 6.2946 6.2946 6.2946 Å, 146.60 146.60 47.96°
Fractional positions:
Y (0.0000, 0.0000, 0.0000)
Pa (0.7500, 0.2500, 0.5000)
B (0.1715, 0.6715, 0.5000)
B (0.3285, 0.8285, 0.5000)
B (0.4212, 0.4212, 0.0000)
B (0.5788, 0.5788, 0.0000)

---

(2)
ZrPaB | PBE | optimized geometry

Computed properties:
Uncorrected energy = -25.02 eV per cell
Distance to the lowest polymorph of the same formula = 20 meV/atom

Cell: 3.4804 3.4804 5.6073 Å, 90.00 90.00 120.00°
Fractional positions:
Zr (0.0000, 0.0000, 0.0000)
Pa (0.3333, 0.6667, 0.4957)
B (0.6667, 0.3333, 0.2362)